Record 1
# Y2BeCu6Pt

An optimized crystal structure of Y2BeCu6Pt (PBE, Alexandria).

abc: 6.121 6.121 8.275
angles: 128.31 128.31 46.48
Positions (direct):
Y1 0.226 0.226 0.191
Y2 0.774 0.774 0.809
Be1 0.000 0.000 0.500
Cu1 0.246 0.750 0.724
Cu2 0.248 0.248 0.581
Cu3 0.250 0.754 0.276
Cu4 0.750 0.246 0.724
Cu5 0.752 0.752 0.419
Cu6 0.754 0.250 0.276
Pt1 0.500 0.500 0.000

The space group is No. 12.

=====

Record 2
# YBeCu2Pt

An optimized crystal structure of YBeCu2Pt (PBE, Alexandria).

abc: 4.240 4.240 4.413
angles: 90.00 90.00 90.00
Positions (direct):
Y1 0.000 0.000 0.000
Be1 0.500 0.500 0.500
Cu1 0.000 0.500 0.500
Cu2 0.500 0.000 0.500
Pt1 0.500 0.500 0.000

The space group is No. 123.

=====

Record 3
# Zr2Be4CuPt3

An optimized crystal structure of Zr2Be4CuPt3 (PBE, Alexandria).

abc: 3.910 3.910 9.165
angles: 90.00 90.00 90.00
Positions (direct):
Zr1 0.000 0.500 0.248
Zr2 0.500 0.000 0.752
Be1 0.000 0.000 0.000
Be2 0.000 0.500 0.629
Be3 0.500 0.000 0.371
Be4 0.500 0.500 0.000
Cu1 0.000 0.000 0.500
Pt1 0.000 0.500 0.871
Pt2 0.500 0.000 0.129
Pt3 0.500 0.500 0.500

The space group is No. 115.

=====

Record 4
# PuBeCu

An optimized crystal structure of PuBeCu (PBE, Alexandria).

abc: 6.364 6.364 6.364
angles: 157.37 157.37 32.22
Positions (direct):
Pu1 0.000 0.000 0.000
Be1 0.678 0.678 0.000
Cu1 0.296 0.296 0.000

The space group is No. 107.

=====

Record 5
# PuBeCu

An optimized crystal structure of PuBeCu (PBE, Alexandria).

abc: 8.001 8.001 8.001
angles: 156.31 156.31 33.75
Positions (direct):
Pu1 0.221 0.221 0.000
Pu2 0.779 0.779 0.000
Be1 0.000 0.500 0.500
Be2 0.500 0.000 0.500
Cu1 0.404 0.404 0.000
Cu2 0.596 0.596 0.000

The space group is No. 139.

=====

Record 6
# PuBeCu2

An optimized crystal structure of PuBeCu2 (PBE, Alexandria).

abc: 2.514 2.514 7.882
angles: 90.00 90.00 90.00
Positions (direct):
Pu1 0.000 0.000 0.000
Be1 0.000 0.000 0.500
Cu1 0.500 0.500 0.313
Cu2 0.500 0.500 0.687

The space group is No. 123.

=====

Record 7
# Pu3BeCu8

An optimized crystal structure of Pu3BeCu8 (PBE, Alexandria).

abc: 8.807 8.807 8.807
angles: 33.83 33.83 33.83
Positions (direct):
Pu1 0.000 0.000 0.000
Pu2 0.127 0.127 0.127
Pu3 0.504 0.504 0.504
Be1 0.633 0.633 0.633
Cu1 0.054 0.564 0.564
Cu2 0.068 0.068 0.566
Cu3 0.068 0.566 0.068
Cu4 0.313 0.313 0.313
Cu5 0.564 0.054 0.564
Cu6 0.564 0.564 0.054
Cu7 0.566 0.068 0.068
Cu8 0.815 0.815 0.815

The space group is No. 160.

=====

Record 8
# PuBe4Cu8

An optimized crystal structure of PuBe4Cu8 (PBE, Alexandria).

abc: 6.259 6.259 6.259
angles: 97.79 97.79 136.78
Positions (direct):
Pu1 0.000 0.000 0.000
Be1 0.000 0.000 0.500
Be2 0.000 0.500 0.000
Be3 0.500 0.000 0.000
Be4 0.500 0.500 0.500
Cu1 0.000 0.350 0.350
Cu2 0.000 0.650 0.650
Cu3 0.275 0.500 0.775
Cu4 0.350 0.000 0.350
Cu5 0.500 0.275 0.775
Cu6 0.500 0.725 0.225
Cu7 0.650 0.000 0.650
Cu8 0.725 0.500 0.225

The space group is No. 139.

=====

Number 1: raw total energy -49.5 eV/cell, density 7.64 g cm⁻³, E_form -0.218 eV/atom. Number 2: raw total energy -26.1 eV/cell, density 8.79 g cm⁻³, E_form -0.345 eV/atom. Number 3: raw total energy -60.5 eV/cell, density 10.28 g cm⁻³, E_form -0.625 eV/atom. Number 4: raw total energy -21.6 eV/cell, density 13.79 g cm⁻³, E_form 0.170 eV/atom. Number 5: raw total energy -42.2 eV/cell, density 12.73 g cm⁻³, E_form 0.350 eV/atom. Number 6: raw total energy -25.7 eV/cell, density 12.67 g cm⁻³, E_form 0.136 eV/atom. Number 7: raw total energy -78.6 eV/cell, density 11.00 g cm⁻³, E_form 0.074 eV/atom. Number 8: raw total energy -62.6 eV/cell, density 8.39 g cm⁻³, E_form -0.042 eV/atom.